Record 1
ThCu2 GGA-PBE optimized geometry; energy relative to the elements = -19 kJ/mol of atoms; calculated volume = 57.2 Å³/f.u.; mass density = 10.42 Mg/m³
1.0
4.3744 0.0000 0.0000
-2.1872 3.7884 0.0000
0.0000 0.0000 3.4519
Th Cu
1 2
Direct
0.0000 0.0000 0.0000
0.3333 0.6667 0.5000
0.6667 0.3333 0.5000

***

Record 2
Th2Cu GGA-PBE optimized geometry; energy relative to the elements = 197 kJ/mol of atoms; calculated volume = 220.8 Å³/f.u.; mass density = 3.97 Mg/m³
1.0
0.0000 6.0440 6.0440
6.0440 0.0000 6.0440
6.0440 6.0440 0.0000
Th Cu
4 2
Direct
0.0000 0.0000 0.0000
0.0000 0.0000 0.5000
0.0000 0.5000 0.0000
0.5000 0.0000 0.0000
0.1250 0.1250 0.1250
0.8750 0.8750 0.8750

***

Record 3
ThCuW GGA-PBE optimized geometry; energy relative to the lowest polymorph listed for this composition = 0.0 meV/atom; energy relative to the elements = 77 kJ/mol of atoms; calculated volume = 64.8 Å³/f.u.; mass density = 12.28 Mg/m³
1.0
6.3761 0.0000 0.0000
0.0000 6.3761 0.0000
0.0000 0.0000 6.3761
Th Cu W
4 4 4
Direct
0.0000 0.0000 0.0000
0.0000 0.5000 0.5000
0.5000 0.0000 0.5000
0.5000 0.5000 0.0000
0.2500 0.2500 0.2500
0.2500 0.7500 0.7500
0.7500 0.2500 0.7500
0.7500 0.7500 0.2500
0.0000 0.0000 0.5000
0.0000 0.5000 0.0000
0.5000 0.0000 0.0000
0.5000 0.5000 0.5000

***

Record 4
Th2Zn15Cu2 GGA-PBE optimized geometry; energy relative to the elements = -21 kJ/mol of atoms; calculated volume = 305.7 Å³/f.u.; mass density = 8.54 Mg/m³
1.0
4.4829 2.5882 4.3910
-4.4829 2.5882 4.3910
0.0000 -5.1764 4.3910
Th Zn Cu
2 15 2
Direct
0.1626 0.1626 0.1626
0.8374 0.8374 0.8374
0.0000 0.5000 0.5000
0.1505 0.1505 0.6563
0.1505 0.6563 0.1505
0.2150 0.5000 0.7850
0.2150 0.7850 0.5000
0.3437 0.8495 0.8495
0.5000 0.0000 0.5000
0.5000 0.2150 0.7850
0.5000 0.5000 0.0000
0.5000 0.7850 0.2150
0.6563 0.1505 0.1505
0.7850 0.2150 0.5000
0.7850 0.5000 0.2150
0.8495 0.3437 0.8495
0.8495 0.8495 0.3437
0.3979 0.3979 0.3979
0.6021 0.6021 0.6021

***

Record 5
ThZrCu GGA-PBE optimized geometry; energy relative to the elements = 27 kJ/mol of atoms; calculated volume = 74.4 Å³/f.u.; mass density = 8.63 Mg/m³
1.0
6.6771 0.0000 0.0000
0.0000 6.6771 0.0000
0.0000 0.0000 6.6771
Th Zr Cu
4 4 4
Direct
0.0000 0.0000 0.0000
0.0000 0.5000 0.5000
0.5000 0.0000 0.5000
0.5000 0.5000 0.0000
0.0000 0.0000 0.5000
0.0000 0.5000 0.0000
0.5000 0.0000 0.0000
0.5000 0.5000 0.5000
0.2500 0.2500 0.2500
0.2500 0.7500 0.7500
0.7500 0.2500 0.7500
0.7500 0.7500 0.2500

***

Record 6
Tl2Cu7 GGA-PBE optimized geometry; uncorrected energy = -27.62 eV for the cell shown; calculated volume = 184.6 Å³/f.u.; mass density = 7.68 Mg/m³
1.0
2.8812 0.0000 0.0000
-1.4406 2.4952 0.0000
0.0000 0.0000 25.6801
Tl Cu
2 7
Direct
0.3333 0.6667 0.1843
0.6667 0.3333 0.8157
0.0000 0.0000 0.2818
0.0000 0.0000 0.5000
0.0000 0.0000 0.7182
0.3333 0.6667 0.4276
0.3333 0.6667 0.6453
0.6667 0.3333 0.3547
0.6667 0.3333 0.5724

***

Record 7
Tl2Cu GGA-PBE optimized geometry; uncorrected energy = -12.77 eV for the cell shown; calculated volume = 85.5 Å³/f.u.; mass density = 9.17 Mg/m³
1.0
0.0000 4.4056 4.4056
4.4056 0.0000 4.4056
4.4056 4.4056 0.0000
Tl Cu
4 2
Direct
0.0000 0.0000 0.0000
0.0000 0.0000 0.5000
0.0000 0.5000 0.0000
0.5000 0.0000 0.0000
0.3750 0.3750 0.3750
0.6250 0.6250 0.6250

***

Record 8
TlCu10 GGA-PBE optimized geometry; uncorrected energy = -77.44 eV for the cell shown; calculated volume = 208.7 Å³/f.u.; mass density = 6.68 Mg/m³
1.0
4.0120 -1.7851 0.0000
4.0120 1.7851 0.0000
-0.2596 0.0000 29.1369
Tl Cu
2 20
Direct
0.1491 0.1491 0.1819
0.8509 0.8509 0.8181
0.0484 0.0484 0.6814
0.0524 0.0524 0.4024
0.1479 0.1479 0.7641
0.1508 0.1508 0.4859
0.2476 0.2476 0.5697
0.2505 0.2505 0.2904
0.3485 0.3485 0.6533
0.3522 0.3522 0.3745
0.4497 0.4497 0.7374
0.4518 0.4518 0.4583
0.5482 0.5482 0.5417
0.5503 0.5503 0.2626
0.6478 0.6478 0.6255
0.6515 0.6515 0.3467
0.7495 0.7495 0.7096
0.7524 0.7524 0.4303
0.8492 0.8492 0.5141
0.8521 0.8521 0.2359
0.9476 0.9476 0.5976
0.9516 0.9516 0.3186

***

Record 9
TlCu8 GGA-PBE optimized geometry; uncorrected energy = -62.53 eV for the cell shown; calculated volume = 196.7 Å³/f.u.; mass density = 6.02 Mg/m³
1.0
4.0026 -1.7747 0.0000
4.0026 1.7747 0.0000
-0.2587 0.0000 27.6962
Tl Cu
2 16
Direct
0.0485 0.0485 0.2243
0.9515 0.9515 0.7757
0.0508 0.0508 0.5441
0.1494 0.1494 0.6325
0.1509 0.1509 0.3376
0.2468 0.2468 0.7198
0.2491 0.2491 0.4264
0.3508 0.3508 0.5148
0.4500 0.4500 0.6029
0.4508 0.4508 0.3085
0.5492 0.5492 0.6915
0.5500 0.5500 0.3971
0.6492 0.6492 0.4852
0.7509 0.7509 0.5736
0.7532 0.7532 0.2802
0.8491 0.8491 0.6624
0.8506 0.8506 0.3675
0.9492 0.9492 0.4559

***

Record 10
TlCu124 GGA-PBE optimized geometry; uncorrected energy = -461.90 eV for the cell shown; calculated volume = 1473.7 Å³/f.u.; mass density = 9.11 Mg/m³
1.0
0.0000 9.0322 9.0322
9.0322 0.0000 9.0322
9.0322 9.0322 0.0000
Tl Cu
1 124
Direct
0.0000 0.0000 0.0000
0.0000 0.0000 0.2081
0.0000 0.0000 0.4020
0.0000 0.0000 0.5980
0.0000 0.0000 0.7919
0.0000 0.2002 0.3999
0.0001 0.2009 0.2009
0.0001 0.2009 0.5981
0.0000 0.2081 0.0000
0.0000 0.2081 0.7919
0.0000 0.3999 0.2002
0.0000 0.3999 0.3999
0.0000 0.4020 0.0000
0.0000 0.4020 0.5980
0.9999 0.4019 0.7991
0.0000 0.5980 0.0000
0.0001 0.5981 0.2009
0.0000 0.5980 0.4020
0.0000 0.6001 0.6001
0.0000 0.6001 0.7998
0.0000 0.7919 0.0000
0.0000 0.7919 0.2081
0.9999 0.7991 0.4019
0.9999 0.7991 0.7991
0.0000 0.7998 0.6001
0.2002 0.0000 0.3999
0.2001 0.2001 0.2001
0.2001 0.2001 0.3996
0.2002 0.3999 0.0000
0.2001 0.3996 0.2001
0.2002 0.3999 0.3999
0.2000 0.4002 0.5998
0.2000 0.4002 0.8000
0.2000 0.5998 0.4002
0.2000 0.6000 0.6000
0.2000 0.5998 0.8000
0.2000 0.8000 0.4002
0.2000 0.8000 0.5998
0.2009 0.0001 0.2009
0.2009 0.0001 0.5981
0.2009 0.2009 0.0001
0.2009 0.2009 0.5981
0.2006 0.2006 0.7994
0.2009 0.5981 0.0001
0.2009 0.5981 0.2009
0.2006 0.7994 0.2006
0.2006 0.7994 0.7994
0.2081 0.0000 0.0000
0.2081 0.0000 0.7919
0.2081 0.7919 0.0000
0.3999 0.0000 0.2002
0.3999 0.0000 0.3999
0.3999 0.2002 0.0000
0.3996 0.2001 0.2001
0.3999 0.2002 0.3999
0.4002 0.2000 0.5998
0.4002 0.2000 0.8000
0.3999 0.3999 0.0000
0.3999 0.3999 0.2002
0.4000 0.4000 0.4000
0.4000 0.4000 0.6000
0.4000 0.4000 0.8000
0.4002 0.5998 0.2000
0.4000 0.6000 0.4000
0.4000 0.6000 0.6000
0.4002 0.5998 0.8000
0.4002 0.8000 0.2000
0.4000 0.8000 0.4000
0.4002 0.8000 0.5998
0.4020 0.0000 0.0000
0.4020 0.0000 0.5980
0.4019 0.9999 0.7991
0.4020 0.5980 0.0000
0.4019 0.7991 0.9999
0.4019 0.7991 0.7991
0.5980 0.0000 0.0000
0.5981 0.0001 0.2009
0.5980 0.0000 0.4020
0.5981 0.2009 0.0001
0.5981 0.2009 0.2009
0.5980 0.4020 0.0000
0.6001 0.0000 0.6001
0.6001 0.0000 0.7998
0.5998 0.2000 0.4002
0.6000 0.2000 0.6000
0.5998 0.2000 0.8000
0.5998 0.4002 0.2000
0.6000 0.4000 0.4000
0.6000 0.4000 0.6000
0.5998 0.4002 0.8000
0.6001 0.6001 0.0000
0.6000 0.6000 0.2000
0.6000 0.6000 0.4000
0.6000 0.6000 0.6000
0.6001 0.6001 0.7998
0.6001 0.7998 0.0000
0.5998 0.8000 0.2000
0.5998 0.8000 0.4002
0.6001 0.7998 0.6001
0.6004 0.7999 0.7999
0.7919 0.0000 0.0000
0.7919 0.0000 0.2081
0.7919 0.2081 0.0000
0.7991 0.9999 0.4019
0.7991 0.9999 0.7991
0.7994 0.2006 0.2006
0.7994 0.2006 0.7994
0.7991 0.4019 0.9999
0.7991 0.4019 0.7991
0.7991 0.7991 0.9999
0.7994 0.7994 0.2006
0.7991 0.7991 0.4019
0.7998 0.0000 0.6001
0.8000 0.2000 0.4002
0.8000 0.2000 0.5998
0.8000 0.4002 0.2000
0.8000 0.4000 0.4000
0.8000 0.4002 0.5998
0.7998 0.6001 0.0000
0.8000 0.5998 0.2000
0.8000 0.5998 0.4002
0.7998 0.6001 0.6001
0.7999 0.6004 0.7999
0.7999 0.7999 0.6004
0.7999 0.7999 0.7999

***

Record 11
Tm2TlCu2 GGA-PBE optimized geometry; uncorrected energy = -38.49 eV for the cell shown; calculated volume = 104.5 Å³/f.u.; mass density = 10.64 Mg/m³
1.0
0.0000 7.0619 2.5471
5.8099 0.0000 2.5471
5.8099 7.0619 0.0000
Tm Tl Cu
4 2 4
Direct
0.3160 0.6840 0.4625
0.6840 0.3160 0.5375
0.7125 0.7875 0.5660
0.7875 0.7125 0.9340
0.0052 0.0052 0.9948
0.2552 0.2552 0.2448
0.0847 0.4345 0.9944
0.2556 0.7637 0.1653
0.4345 0.0847 0.4863
0.7637 0.2556 0.8155

***

Record 12
YTmTlCu2 GGA-PBE optimized geometry; uncorrected energy = -44.65 eV for the cell shown; calculated volume = 105.2 Å³/f.u.; mass density = 9.30 Mg/m³
1.0
3.6847 0.0000 0.0000
0.0000 4.0327 0.0000
0.0000 0.0000 14.1600
Y Tm Tl Cu
2 2 2 4
Direct
0.0000 0.0000 0.0000
0.0000 0.5000 0.5000
0.0000 0.0000 0.2692
0.0000 0.5000 0.7692
0.5000 0.0000 0.6346
0.5000 0.5000 0.1346
0.5000 0.0000 0.4304
0.5000 0.0000 0.8336
0.5000 0.5000 0.3336
0.5000 0.5000 0.9304

***

Please write out number 3 again, unchanged.
ThCuW GGA-PBE optimized geometry; energy relative to the lowest polymorph listed for this composition = 0.0 meV/atom; energy relative to the elements = 77 kJ/mol of atoms; calculated volume = 64.8 Å³/f.u.; mass density = 12.28 Mg/m³
1.0
6.3761 0.0000 0.0000
0.0000 6.3761 0.0000
0.0000 0.0000 6.3761
Th Cu W
4 4 4
Direct
0.0000 0.0000 0.0000
0.0000 0.5000 0.5000
0.5000 0.0000 0.5000
0.5000 0.5000 0.0000
0.2500 0.2500 0.2500
0.2500 0.7500 0.7500
0.7500 0.2500 0.7500
0.7500 0.7500 0.2500
0.0000 0.0000 0.5000
0.0000 0.5000 0.0000
0.5000 0.0000 0.0000
0.5000 0.5000 0.5000